First-principles (PBE with a Hubbard U) data for an optimized crystal structure of Li2MoAuF, as listed in Alexandria.

a = 4.838 Å, b = 4.838 Å, c = 5.491 Å
α = 90.00°, β = 90.00°, γ = 90.00°
Space group P4/mmm (No. 123)
Symmetry-distinct sites (fractional):
Li1 0.000 0.500 0.000 [2 per cell]
Mo1 0.000 0.000 0.500 [1 per cell]
Au1 0.000 0.000 0.000 [1 per cell]
F1 0.500 0.500 0.500 [1 per cell]

E in eV per cell: -15.872
Crystal system: tetragonal